Material: Ho2BeGe2Rh5
Method: DFT, PBE
State: optimized geometry

Output
**DOS(E_F)**: 5.28 states/eV/cell
**Formation energy**: -7.02 eV per formula unit
**E**: -65.89 eV per formula unit
**Total magnetic moment**: 0.00 μB/atom

a b c (Å): 3.4605 9.6970 9.6970
angles (deg): 90.00 90.00 90.00
Closest atoms and distances in Å follow each position.
Element x y z (fractional)
Rh  0.5000  0.8010  0.9362  2 Ge 2.48, 2 Be 2.66
Rh  0.5000  0.6990  0.4362  2 Ge 2.48, 2 Be 2.66
Rh  0.5000  0.3010  0.5638  2 Ge 2.48, 2 Be 2.66
Rh  0.5000  0.1990  0.0638  2 Ge 2.48, 2 Be 2.66
Rh  0.5000  0.9362  0.1990  2 Ge 2.48, 2 Be 2.66
Rh  0.5000  0.0638  0.8010  2 Ge 2.48, 2 Be 2.66
Rh  0.5000  0.5000  0.0000  4 Ge 2.48
Rh  0.5000  0.0000  0.5000  4 Ge 2.48
Rh  0.5000  0.5638  0.6990  2 Ge 2.48, 2 Be 2.66
Rh  0.5000  0.4362  0.3010  2 Ge 2.48, 2 Be 2.66
Ho  0.0000  0.1717  0.3283  3 Ge 2.73-2.95, 2 Rh 2.92
Ho  0.0000  0.6717  0.1717  3 Ge 2.73-2.95, 2 Rh 2.92
Ho  0.0000  0.3283  0.8283  3 Ge 2.73-2.95, 2 Rh 2.92
Ho  0.0000  0.8283  0.6717  3 Ge 2.73-2.95, 2 Rh 2.92
Ge  0.0000  0.1293  0.6293  6 Rh 2.48, 1 Ho 2.73
Ge  0.0000  0.3707  0.1293  6 Rh 2.48, 1 Ho 2.73
Ge  0.0000  0.6293  0.8707  6 Rh 2.48, 1 Ho 2.73
Ge  0.0000  0.8707  0.3707  6 Rh 2.48, 1 Ho 2.73
Be  0.0000  0.5000  0.5000  8 Rh 2.66
Be  0.0000  0.0000  0.0000  8 Rh 2.66